## one
SrZn3Ga3: optimized geometry, PBE. Values from VASP.

V   349 Å³ per cell
Crystal system   cubic

The structure in Quantum ESPRESSO input format:
```
&SYSTEM
  ibrav = 0, nat = 14, ntyp = 3
/
ATOMIC_SPECIES
Ga 69.72 Ga.upf
Zn 65.41 Zn.upf
Sr 87.62 Sr.upf
CELL_PARAMETERS angstrom
-4.855 0.506 -5.073
-3.794 -5.039 3.127
-3.406 4.890 3.747
ATOMIC_POSITIONS angstrom
Ga -2.748 -1.297 2.501
Ga -5.272 -3.526 -0.191
Ga -5.344 2.825 -1.931
Ga -4.451 1.148 4.374
Ga -3.376 -1.007 -1.755
Ga -2.917 2.572 0.605
Zn -2.651 1.185 2.656
Zn -4.982 3.921 0.274
Zn -3.279 1.476 -1.600
Zn -5.538 -2.140 -2.241
Zn -3.110 -2.393 0.295
Zn -4.548 -1.334 4.219
Sr -6.027 0.179 0.901
Sr 0.000 0.000 0.000
```

***

## two
SrZn3Ga3: optimized geometry, PBE. Values from VASP.

V   369 Å³ per cell
Crystal system   monoclinic

The structure in Quantum ESPRESSO input format:
```
&SYSTEM
  ibrav = 0, nat = 14, ntyp = 3
/
ATOMIC_SPECIES
Sr 87.62 Sr.upf
Zn 65.41 Zn.upf
Ga 69.72 Ga.upf
CELL_PARAMETERS angstrom
-0.050 4.030 1.522
-9.355 1.085 -3.185
1.772 -3.437 9.162
ATOMIC_POSITIONS angstrom
Sr -1.976 1.093 6.188
Sr -5.657 0.586 1.311
Zn -4.312 -0.823 5.085
Zn -1.075 -1.698 7.510
Zn -0.463 -0.246 3.685
Zn -7.171 1.924 3.814
Zn -6.559 3.376 -0.011
Zn -3.321 2.501 2.414
Ga -4.736 1.694 4.505
Ga 0.771 -1.061 5.884
Ga -3.724 -1.690 7.401
Ga -2.897 -0.015 2.993
Ga -3.910 3.368 0.098
Ga -8.405 2.739 1.614
```

***

two (5.0 kJ/mol of atoms below the next structure)

***

## one
Sr3Zn2Ga4: optimized geometry, PBE. Values from VASP.

V   464 Å³ per cell
Crystal system   trigonal

The structure in Quantum ESPRESSO input format:
```
&SYSTEM
  ibrav = 0, nat = 18, ntyp = 3
/
ATOMIC_SPECIES
Ga 69.72 Ga.upf
Sr 87.62 Sr.upf
Zn 65.41 Zn.upf
CELL_PARAMETERS angstrom
-1.003 -3.991 1.763
0.720 0.385 -4.402
25.987 -4.843 3.828
ATOMIC_POSITIONS angstrom
Ga 8.575 -1.598 1.263
Ga 0.089 -0.017 0.013
Ga 21.250 -6.572 2.902
Ga 16.890 -5.760 2.259
Ga 25.490 -7.362 3.526
Ga 17.317 -3.227 2.551
Ga 8.320 -4.163 0.997
Ga 12.530 -4.947 1.617
Sr 6.643 -2.284 -1.390
Sr 11.036 -3.103 -0.743
Sr 2.320 -1.479 -2.026
Sr 15.235 -3.886 -0.124
Sr 19.696 -4.717 0.533
Sr 23.906 -5.502 1.153
Zn 21.649 -4.035 3.189
Zn 4.337 -0.808 0.639
Zn 3.906 -3.340 0.347
Zn 12.995 -2.422 1.914
```

***

## two
Sr3Zn2Ga4: optimized geometry, PBE. Values from VASP.

V   231 Å³ per cell
Crystal system   monoclinic

The structure in Quantum ESPRESSO input format:
```
&SYSTEM
  ibrav = 0, nat = 9, ntyp = 3
/
ATOMIC_SPECIES
Ga 69.72 Ga.upf
Sr 87.62 Sr.upf
Zn 65.41 Zn.upf
CELL_PARAMETERS angstrom
-3.628 2.105 -1.659
-1.450 -5.791 1.957
-0.749 4.692 7.591
ATOMIC_POSITIONS angstrom
Ga -5.162 -0.301 4.774
Ga -3.291 -0.780 0.076
Ga -0.666 1.306 3.114
Ga -2.537 1.786 7.813
Sr -2.420 -1.590 3.276
Sr -3.408 2.596 4.613
Sr 0.000 0.000 0.000
Zn -2.747 1.317 1.546
Zn -3.081 -0.311 6.342
```

***

two (0.6 kJ/mol of atoms below the next structure)